[1]
The following is a DFT calculation (PBE) of crystalline NdYCuRh at its relaxed geometry.

Unit cell a=4.441 b=3.868 c=10.531 alpha=90.00 beta=90.00 gamma=90.00
Space group Amm2 (No. 38)
One atom of each set of equivalent atoms:
Nd: 0.000 0.000 0.000 x2
Y: 0.500 0.000 0.722 x2
Cu: 0.500 0.000 0.431 x2
Rh: 0.000 0.000 0.278 x2

Results
The calculation puts the energy relative to the lowest polymorph listed for this composition at 0.00 eV/f.u. The magnetic moment comes out at 0.00 μB/f.u. The calculation puts the energy at -49.43 eV per cell.

[2]
The following is a DFT calculation (PBE) of crystalline TlBSN2 at its relaxed geometry.

Unit cell a=3.419 b=3.419 c=6.346 alpha=90.00 beta=90.00 gamma=90.00
Space group P4/mmm (No. 123)
One atom of each set of equivalent atoms:
Tl: 0.000 0.000 0.000 x1
B: 0.500 0.500 0.500 x1
S: 0.500 0.500 0.000 x1
N: 0.000 0.500 0.500 x2

Results
The calculation puts the energy relative to the lowest polymorph listed for this composition at 0.00 eV/f.u. The uncorrected formation energy is 1328 meV/atom. The magnetic moment comes out at 0.04 μB/f.u. The calculation puts the energy at -23.18 eV per cell.

[3]
The following is a DFT calculation (PBE) of crystalline K2CaTa at its relaxed geometry.

Unit cell a=3.489 b=5.618 c=13.904 alpha=90.00 beta=90.00 gamma=90.00
Space group Cmmm (No. 65)
One atom of each set of equivalent atoms:
K: 0.000 0.000 0.226 x4
Ca: 0.000 0.500 0.500 x2
Ta: 0.000 0.500 0.000 x2

Results
The calculation puts the energy relative to the lowest polymorph listed for this composition at 0.97 eV/f.u. The magnetic moment comes out at 0.74 μB/f.u. The calculation puts the energy at -23.23 eV per cell.

[4]
The following is a DFT calculation (PBE) of crystalline Ag7PSe6 at its relaxed geometry.

Unit cell a=6.719 b=14.708 c=14.246 alpha=90.00 beta=90.00 gamma=90.00
Space group Ibam (No. 72)
One atom of each set of equivalent atoms:
Ag: 0.000 0.000 0.250 x4
Ag: 0.073 0.290 0.102 x16
Ag: 0.216 0.016 0.000 x8
P: 0.000 0.500 0.250 x4
Se: 0.112 0.158 0.500 x8
Se: 0.200 0.406 0.335 x16

Results
The calculation puts the energy relative to the lowest polymorph listed for this composition at 1.31 eV/f.u. The uncorrected formation energy is -6 meV/atom. The magnetic moment comes out at 0.00 μB/f.u. The calculation puts the energy at -185.45 eV per cell.

[5]
The following is a DFT calculation (PBE) of crystalline Li4Tl3Pd4 at its relaxed geometry.

Unit cell a=3.099 b=4.567 c=13.710 alpha=80.77 beta=85.13 gamma=89.96
Space group P-1 (No. 2)
One atom of each set of equivalent atoms:
Li: 0.111 0.088 0.318 x2
Li: 0.255 0.258 0.982 x2
Tl: 0.176 0.647 0.199 x2
Tl: 0.500 0.000 0.500 x1
Pd: 0.306 0.826 0.856 x2
Pd: 0.392 0.443 0.621 x2

Results
The calculation puts the energy relative to the lowest polymorph listed for this composition at 0.00 eV/f.u. The magnetic moment comes out at 0.00 μB/f.u. The calculation puts the energy at -38.69 eV per cell.

[6]
The following is a DFT calculation (PBE) of crystalline Sr3Zn2Si3 at its relaxed geometry.

Unit cell a=4.373 b=11.607 c=15.872 alpha=90.00 beta=90.00 gamma=90.00
Space group Cmcm (No. 63)
One atom of each set of equivalent atoms:
Sr: 0.000 0.047 0.250 x4
Sr: 0.000 0.346 0.098 x8
Zn: 0.000 0.366 0.617 x8
Si: 0.000 0.071 0.054 x8
Si: 0.000 0.241 0.750 x4

Results
The uncorrected formation energy is -379 meV/atom. The magnetic moment comes out at 0.00 μB/f.u. The calculation puts the energy at -107.58 eV per cell.